Record 1
# PBE NbTcBi3, relaxed
# Total energy: -5.169 eV/atom
# N(E_F): 1.108 states/eV per atom
# Formation enthalpy at 0 K: 1.246 eV per atom
# Excess energy over the best structure of this formula in the dataset: 0.59 eV/f.u.
data_NbTcBi3
_symmetry_space_group_name_H-M 'P m -3 m'
_symmetry_Int_Tables_number 221
_symmetry_space_group_name_Hall '-P 4 2 3'
_cell_length_a 5.475
_cell_length_b 5.475
_cell_length_c 5.475
_cell_angle_alpha 90.00
_cell_angle_beta 90.00
_cell_angle_gamma 90.00
loop_
_atom_site_label
_atom_site_fract_x
_atom_site_fract_y
_atom_site_fract_z
_atom_site_occupancy
Nb1 0.000 0.000 0.000 1
Tc1 0.500 0.500 0.500 1
Bi1 0.000 0.000 0.500 1



Record 2
# PBE NbTl2TcBi, relaxed
# Total energy: -3.812 eV/atom
# N(E_F): 1.436 states/eV per atom
# Formation enthalpy at 0 K: 1.998 eV per atom
data_NbTl2TcBi
_symmetry_space_group_name_H-M 'P 4/m m m'
_symmetry_Int_Tables_number 123
_symmetry_space_group_name_Hall '-P 4 2'
_cell_length_a 5.711
_cell_length_b 5.711
_cell_length_c 5.102
_cell_angle_alpha 90.00
_cell_angle_beta 90.00
_cell_angle_gamma 90.00
loop_
_atom_site_label
_atom_site_fract_x
_atom_site_fract_y
_atom_site_fract_z
_atom_site_occupancy
Nb1 0.000 0.000 0.000 1
Tl1 0.000 0.500 0.500 1
Tc1 0.500 0.500 0.000 1
Bi1 0.500 0.500 0.500 1



Record 3
# PBE Nb2TcBiW, relaxed
# Total energy: -8.220 eV/atom
# N(E_F): 1.453 states/eV per atom
# Formation enthalpy at 0 K: 1.248 eV per atom
data_Nb2TcBiW
_symmetry_space_group_name_H-M 'P 4/m m m'
_symmetry_Int_Tables_number 123
_symmetry_space_group_name_Hall '-P 4 2'
_cell_length_a 4.938
_cell_length_b 4.938
_cell_length_c 4.760
_cell_angle_alpha 90.00
_cell_angle_beta 90.00
_cell_angle_gamma 90.00
loop_
_atom_site_label
_atom_site_fract_x
_atom_site_fract_y
_atom_site_fract_z
_atom_site_occupancy
Nb1 0.000 0.500 0.000 1
Tc1 0.000 0.000 0.500 1
Bi1 0.500 0.500 0.500 1
W1 0.000 0.000 0.000 1



Record 4
# PBE Nb2BiTe3, relaxed
# Total energy: -5.517 eV/atom
# N(E_F): 0.913 states/eV per atom
# Raw formation energy: 0.06 eV/atom
data_Nb2BiTe3
_symmetry_space_group_name_H-M 'C 1 2/m 1'
_symmetry_Int_Tables_number 12
_symmetry_space_group_name_Hall '-C 2y'
_cell_length_a 16.343
_cell_length_b 4.832
_cell_length_c 8.564
_cell_angle_alpha 90.00
_cell_angle_beta 99.72
_cell_angle_gamma 90.00
loop_
_atom_site_label
_atom_site_fract_x
_atom_site_fract_y
_atom_site_fract_z
_atom_site_occupancy
Nb1 0.129 0.000 0.387 1
Nb2 0.134 0.500 0.861 1
Bi1 0.059 0.500 0.174 1
Te1 0.059 0.000 0.690 1
Te2 0.185 0.000 0.071 1
Te3 0.185 0.500 0.552 1



Record 5
# PBE NbBiTe2, relaxed
# Total energy: -4.553 eV/atom
# N(E_F): 1.385 states/eV per atom
# Raw formation energy: 0.51 eV/atom
data_NbBiTe2
_symmetry_space_group_name_H-M 'R -3 m'
_symmetry_Int_Tables_number 166
_symmetry_space_group_name_Hall '-R 3 2"'
_cell_length_a 3.1948
_cell_length_b 3.1948
_cell_length_c 40.1359
_cell_angle_alpha 90.00
_cell_angle_beta 90.00
_cell_angle_gamma 120.00
loop_
_atom_site_label
_atom_site_fract_x
_atom_site_fract_y
_atom_site_fract_z
_atom_site_occupancy
Nb1 0.0000 0.0000 0.0000 1
Bi1 0.0000 0.0000 0.5000 1
Te1 0.0000 0.0000 0.0706 1



Record 6
# PBE NbBi3Te, relaxed
# Total energy: -3.484 eV/atom
# N(E_F): 1.668 states/eV per atom
# Raw formation energy: 1.49 eV/atom
# Excess energy over the best structure of this formula in the dataset: 5.51 eV/f.u.
data_NbBi3Te
_symmetry_space_group_name_H-M 'P m -3 m'
_symmetry_Int_Tables_number 221
_symmetry_space_group_name_Hall '-P 4 2 3'
_cell_length_a 5.738
_cell_length_b 5.738
_cell_length_c 5.738
_cell_angle_alpha 90.00
_cell_angle_beta 90.00
_cell_angle_gamma 90.00
loop_
_atom_site_label
_atom_site_fract_x
_atom_site_fract_y
_atom_site_fract_z
_atom_site_occupancy
Nb1 0.000 0.000 0.000 1
Bi1 0.000 0.500 0.500 1
Te1 0.500 0.500 0.500 1



Record 7
# PBE Nb2BiTe, relaxed
# Total energy: -6.651 eV/atom
# N(E_F): 0.894 states/eV per atom
# Raw formation energy: 0.14 eV/atom
# Excess energy over the best structure of this formula in the dataset: 0.00 eV/f.u.
data_Nb2BiTe
_symmetry_space_group_name_H-M 'F m -3 m'
_symmetry_Int_Tables_number 225
_symmetry_space_group_name_Hall '-F 4 2 3'
_cell_length_a 6.948
_cell_length_b 6.948
_cell_length_c 6.948
_cell_angle_alpha 90.00
_cell_angle_beta 90.00
_cell_angle_gamma 90.00
loop_
_atom_site_label
_atom_site_fract_x
_atom_site_fract_y
_atom_site_fract_z
_atom_site_occupancy
Nb1 0.250 0.250 0.250 1
Bi1 0.000 0.000 0.000 1
Te1 0.000 0.000 0.500 1



Record 8
# PBE NbBiTe2, relaxed
# Total energy: -5.295 eV/atom
# N(E_F): 0.428 states/eV per atom
# Raw formation energy: -0.24 eV/atom
data_NbBiTe2
_symmetry_space_group_name_H-M 'R -3 m'
_symmetry_Int_Tables_number 166
_symmetry_space_group_name_Hall '-R 3 2"'
_cell_length_a 3.6441
_cell_length_b 3.6441
_cell_length_c 30.2431
_cell_angle_alpha 90.00
_cell_angle_beta 90.00
_cell_angle_gamma 120.00
loop_
_atom_site_label
_atom_site_fract_x
_atom_site_fract_y
_atom_site_fract_z
_atom_site_occupancy
Nb1 0.0000 0.0000 0.0000 1
Bi1 0.0000 0.0000 0.5000 1
Te1 0.0000 0.0000 0.3947 1



Record 9
# PBE NbBi3Te, relaxed
# Total energy: -4.587 eV/atom
# N(E_F): 0.776 states/eV per atom
# Raw formation energy: 0.38 eV/atom
# Excess energy over the best structure of this formula in the dataset: 0.00 eV/f.u.
data_NbBi3Te
_symmetry_space_group_name_H-M 'P m -3 m'
_symmetry_Int_Tables_number 221
_symmetry_space_group_name_Hall '-P 4 2 3'
_cell_length_a 5.496
_cell_length_b 5.496
_cell_length_c 5.496
_cell_angle_alpha 90.00
_cell_angle_beta 90.00
_cell_angle_gamma 90.00
loop_
_atom_site_label
_atom_site_fract_x
_atom_site_fract_y
_atom_site_fract_z
_atom_site_occupancy
Nb1 0.000 0.000 0.000 1
Bi1 0.000 0.000 0.500 1
Te1 0.500 0.500 0.500 1



Record 10
# PBE NbBi2Te, relaxed
# Total energy: -4.530 eV/atom
# N(E_F): 0.916 states/eV per atom
# Raw formation energy: 0.71 eV/atom
data_NbBi2Te
_symmetry_space_group_name_H-M 'I -4 2 d'
_symmetry_Int_Tables_number 122
_symmetry_space_group_name_Hall 'I -4 2bw'
_cell_length_a 6.721
_cell_length_b 6.721
_cell_length_c 14.077
_cell_angle_alpha 90.00
_cell_angle_beta 90.00
_cell_angle_gamma 90.00
loop_
_atom_site_label
_atom_site_fract_x
_atom_site_fract_y
_atom_site_fract_z
_atom_site_occupancy
Nb1 0.000 0.000 0.000 1
Bi1 0.199 0.250 0.125 1
Te1 0.000 0.000 0.500 1



Record 11
# PBE Nb3BiTe, relaxed
# Total energy: -5.688 eV/atom
# N(E_F): 1.524 states/eV per atom
# Raw formation energy: 1.76 eV/atom
# Excess energy over the best structure of this formula in the dataset: 6.06 eV/f.u.
data_Nb3BiTe
_symmetry_space_group_name_H-M 'P m -3 m'
_symmetry_Int_Tables_number 221
_symmetry_space_group_name_Hall '-P 4 2 3'
_cell_length_a 5.204
_cell_length_b 5.204
_cell_length_c 5.204
_cell_angle_alpha 90.00
_cell_angle_beta 90.00
_cell_angle_gamma 90.00
loop_
_atom_site_label
_atom_site_fract_x
_atom_site_fract_y
_atom_site_fract_z
_atom_site_occupancy
Nb1 0.000 0.000 0.500 1
Bi1 0.000 0.000 0.000 1
Te1 0.500 0.500 0.500 1



Record 12
# PBE Nb4BiTe5, relaxed
# Total energy: -5.919 eV/atom
# N(E_F): 0.941 states/eV per atom
# Raw formation energy: 0.07 eV/atom
data_Nb4BiTe5
_symmetry_space_group_name_H-M 'P m m n'
_symmetry_Int_Tables_number 59
_cell_length_a 7.859
_cell_length_b 9.612
_cell_length_c 7.213
_cell_angle_alpha 90.00
_cell_angle_beta 90.00
_cell_angle_gamma 90.00
loop_
_symmetry_equiv_pos_as_xyz
'x,y,z'
'-x,-y,-z'
'-x+1/2,-y+1/2,z'
'x+1/2,y+1/2,-z'
'x+1/2,-y,-z'
'-x+1/2,y,z'
'-x,y+1/2,-z'
'x,-y+1/2,z'
loop_
_atom_site_label
_atom_site_fract_x
_atom_site_fract_y
_atom_site_fract_z
_atom_site_occupancy
Nb1 0.094 0.250 0.078 1
Nb2 0.250 0.521 0.475 1
Bi1 0.250 0.750 0.737 1
Te1 0.011 0.050 0.778 1
Te2 0.250 0.250 0.432 1